Entry 1:
## ErSnNO (GGA-PBE)

Data for a relaxed structure of ErSnNO.

Lattice parameters (Å, degrees): 3.3840 5.8418 6.7010 90.00 90.00 90.00
Last column: nearest neighbours and their distance in Å.
Atoms (fractional coordinates):
Er1 0.0000 0.0420 0.5899  2 O 2.24, 2 N 2.26-2.28
Sn1 0.5000 0.0242 0.1227  2 N 2.11
N1 0.0000 0.3958 0.7248  2 Sn 2.11, 2 Er 2.26-2.28
Er2 0.0000 0.5420 0.4101  2 O 2.24, 2 N 2.26-2.28
O1 0.5000 0.7920 0.6077  2 Er 2.24, 1 Sn 2.39
N2 0.0000 0.8958 0.2752  2 Sn 2.11, 2 Er 2.26-2.28
Sn2 0.5000 0.5242 0.8773  2 N 2.11
O2 0.5000 0.2920 0.3923  2 Er 2.24, 1 Sn 2.39

Properties
spin magnetization: 0.00 μB/f.u.
DFT total energy: -27.8 eV/f.u.
distance to the lowest polymorph of the same formula: 0.83 eV per formula unit
space group: Pmc2_1, No. 26

=====

Entry 2:
## ScIn2Pd (GGA-PBE)

Data for a relaxed structure of ScIn2Pd.

Lattice parameters (Å, degrees): 4.8431 4.8431 4.8431 60.00 60.00 60.00
Last column: nearest neighbours and their distance in Å.
Atoms (fractional coordinates):
Sc1 0.0000 0.0000 0.0000  4 Pd 2.97, 4 In 2.97
Pd1 0.7500 0.7500 0.7500  4 In 2.97, 4 Sc 2.97
In1 0.5000 0.5000 0.5000  4 In 2.97, 4 Pd 2.97
In2 0.2500 0.2500 0.2500  4 In 2.97, 4 Sc 2.97

Properties
spin magnetization: 0.00 μB/f.u.
DFT total energy: -18.7 eV/f.u.
space group: F-43m, No. 216